Below is an optimized crystal structure of AlFeCu2, with properties calculated at the PBE-GGA level.

Output
Crystal system ... orthorhombic
M_tot ... 2.4 μB per formula unit
Energy of formation ... -20 meV per atom

Cell lengths 5.100, 7.432, 2.648 Å; angles 90.00, 90.00, 90.00 degrees
Space group Cmmm (No. 65)
Asymmetric unit:
Al1 0.000 0.000 0.000
Fe1 0.000 0.500 0.000
Cu1 0.250 0.250 0.500

=====

Below is an optimized crystal structure of CdAg3Te, with properties calculated at the PBE-GGA level.

Output
E above lowest polymorph ... 0 meV per atom
Raw formation energy ... 0.4049 eV per atom
Crystal system ... cubic
M_tot ... 0.0 μB per formula unit

Cell lengths 5.412, 5.412, 5.412 Å; angles 90.00, 90.00, 90.00 degrees
Space group Pm-3m (No. 221)
Asymmetric unit:
Cd1 0.000 0.000 0.000
Ag1 0.000 0.500 0.500
Te1 0.500 0.500 0.500

=====

Below is an optimized crystal structure of SmGdHgIr, with properties calculated at the PBE-GGA level.

Output
Crystal system ... cubic
M_tot ... 7.1 μB per formula unit
Energy of formation ... -561 meV per atom

Cell lengths 7.234, 7.234, 7.234 Å; angles 90.00, 90.00, 90.00 degrees
Space group F-43m (No. 216)
Asymmetric unit:
Sm1 0.000 0.000 0.000
Gd1 0.000 0.000 0.500
Hg1 0.250 0.250 0.250
Ir1 0.250 0.250 0.750

=====

Below is an optimized crystal structure of TbAlB, with properties calculated at the PBE-GGA level.

Output
Crystal system ... orthorhombic
M_tot ... 0.0 μB per formula unit
Energy of formation ... 187 meV per atom

Cell lengths 5.688, 7.862, 8.869 Å; angles 90.00, 90.00, 90.00 degrees
Space group Fmmm (No. 69)
Asymmetric unit:
Tb1 0.000 0.183 0.000
Al1 0.000 0.000 0.317
B1 0.250 0.250 0.250